Ho3Si2Sn3Rh9 | PBEsol | optimized geometry Values from VASP.

Quantum ESPRESSO input file:
```
&SYSTEM
  ibrav = 0, nat = 17, ntyp = 4
/
ATOMIC_SPECIES
Ho 164.93 Ho.upf
Si 28.09 Si.upf
Sn 118.71 Sn.upf
Rh 102.91 Rh.upf
ATOMIC_POSITIONS crystal
Ho 0.000 0.400 0.000
Ho 0.400 0.000 0.000
Ho 0.600 0.600 0.000
Si 0.333 0.667 0.000
Si 0.667 0.333 0.000
Sn 0.000 0.760 0.000
Sn 0.240 0.240 0.000
Sn 0.760 0.000 0.000
Rh 0.000 0.165 0.500
Rh 0.165 0.000 0.500
Rh 0.184 0.702 0.500
Rh 0.298 0.482 0.500
Rh 0.482 0.298 0.500
Rh 0.518 0.816 0.500
Rh 0.702 0.184 0.500
Rh 0.816 0.518 0.500
Rh 0.835 0.835 0.500
CELL_PARAMETERS angstrom
9.629 0.000 0.000
-4.815 8.339 0.000
0.000 0.000 3.473
```

**VASP energy**: -7.521 eV/atom
**Space-group type**: P-62m (189)